Record 1
Entry from Alexandria via LeMat-Bulk: an optimized crystal structure of HfCuGe (PBE).

Geometry as POSCAR:
```
HfCuGe
1.0
-3.273 -1.548 -0.136
1.406 -3.086 1.275
0.207 3.525 3.157
Ge Hf Cu
1 1 1
direct
0.275 0.275 0.551 Ge
0.619 0.619 0.238 Hf
0.956 0.956 0.911 Cu
```

The value obtained for the density of states at the Fermi level is 0.81 states/eV/atom. The value obtained for the calculated total energy is -18.7 eV/cell. The size of the total moment is 0.000 μB/cell.


Record 2
Entry from Alexandria via LeMat-Bulk: an optimized crystal structure of ZrTaIr (PBE).

Geometry as POSCAR:
```
ZrTaIr
1.0
3.109 0.000 0.000
-1.554 2.692 0.000
0.000 0.000 6.690
Zr Ta Ir
1 1 1
direct
0.333 0.667 0.673 Zr
0.667 0.333 0.315 Ta
0.000 0.000 0.012 Ir
```

The value obtained for the density of states at the Fermi level is 1.17 states/eV/atom. The excess energy over the best structure of this formula in the dataset is 318 meV per atom. The size of the total moment is 0.000 μB/cell.


Record 3
Entry from Alexandria via LeMat-Bulk: an optimized crystal structure of AcPaFe (PBE).

Geometry as POSCAR:
```
AcPaFe
1.0
-2.115 -0.396 3.016
-5.899 -2.113 -2.138
-0.024 -7.106 1.325
Pa Ac Fe
2 2 2
direct
0.756 0.667 0.822 Pa
0.244 0.333 0.178 Pa
0.444 0.783 0.328 Ac
0.556 0.217 0.672 Ac
0.880 0.216 0.024 Fe
0.120 0.784 0.976 Fe
```

The value obtained for the density of states at the Fermi level is 1.22 states/eV/atom. The value obtained for the calculated total energy is -43.8 eV/cell. The size of the total moment is 0.000 μB/cell.